## HgWAu2 (GGA-PBE)

Data for an optimized crystal structure of HgWAu2.

Cell lengths 2.8545, 5.0594, 5.1025 Å; angles 90.00, 90.00, 90.00 degrees
Sites, in units of the cell vectors:
Hg  0.0000  0.0000  0.0000
W  0.5000  0.0000  0.5000
Au  0.0000  0.5000  0.5000
Au  0.5000  0.5000  0.0000

Results
ΔH_f (0 K) = 0.616 eV/atom

---

## Ti3HO (GGA-PBE)

Data for an optimized crystal structure of Ti3HO.

Cell lengths 8.0274, 2.9124, 4.7786 Å; angles 90.00, 90.00, 90.00 degrees
Sites, in units of the cell vectors:
Ti  0.0865  0.0000  0.2343
Ti  0.2500  0.5000  0.7275
Ti  0.4135  0.0000  0.2343
Ti  0.5865  0.0000  0.7657
Ti  0.7500  0.5000  0.2725
Ti  0.9135  0.0000  0.7657
H  0.2500  0.5000  0.1328
H  0.7500  0.5000  0.8672
O  0.0000  0.5000  0.5000
O  0.5000  0.5000  0.5000

Results
Offset from the most stable computed form = 0.000 eV/atom

---

## TbEr4Hg2 (GGA-PBE)

Data for an optimized crystal structure of TbEr4Hg2.

Cell lengths 10.5007, 10.5007, 10.5007 Å; angles 27.63, 27.63, 27.63 degrees
Sites, in units of the cell vectors:
Tb  0.0000  0.0000  0.0000
Er  0.2028  0.2028  0.2028
Er  0.3940  0.3940  0.3940
Er  0.6060  0.6060  0.6060
Er  0.7972  0.7972  0.7972
Hg  0.1011  0.1011  0.1011
Hg  0.8989  0.8989  0.8989

Results
ΔH_f (0 K) = 0.030 eV/atom